A plane-wave DFT calculation with PBE was carried out for a relaxed structure of Er3AgSb.

Results
- raw formation energy (eV per formula unit) = -1.907
- final energy (eV/atom) = -4.5138

Unit cell a=5.2886 b=6.3182 c=8.6181 alpha=90.00 beta=90.05 gamma=90.00
Space group P2_1/m (No. 11)
Symmetry-distinct sites (fractional):
1 Er 0.0000 0.0000 0.0000 [2 per cell]
2 Er 0.0004 0.2500 0.3572 [2 per cell]
3 Er 0.4997 0.2500 0.7640 [2 per cell]
4 Ag 0.9996 0.2500 0.6882 [2 per cell]
5 Sb 0.5002 0.2500 0.1417 [2 per cell]